! Ac2SmMoO8 (GGA+U, optimized geometry); values from VASP
! E: -89.961 eV/cell
! spin magnetization: 1.03 μB/f.u.
! space-group type: P2/m (10)
&SYSTEM
  ibrav = 0, nat = 12, ntyp = 4
/
ATOMIC_SPECIES
Ac 227.00 Ac.upf
Sm 150.36 Sm.upf
Mo 95.94 Mo.upf
O 16.00 O.upf
ATOMIC_POSITIONS angstrom
Ac 0.000 1.778 0.000
Ac 0.000 5.533 0.000
Sm 1.991 3.655 2.804
Mo 1.991 0.000 2.804
O 0.154 3.655 1.427
O 0.274 0.000 1.909
O 1.593 1.477 4.067
O 1.593 5.834 4.067
O 2.389 1.477 1.541
O 2.389 5.834 1.541
O 3.708 0.000 3.699
O 3.828 3.655 4.180
CELL_PARAMETERS angstrom
4.504 0.000 0.000
0.000 7.311 0.000
-0.522 0.000 5.608